[1]
VASP calculation (PBE) on an optimized crystal structure of InSi2Ir.

Computed properties:
Mass density in Mg/m³: 8.62
Formation energy (no corrections) in eV per atom: -0.014
M_tot in μB/atom: 0.000
N(E_F) in states/eV/cell: 1.246
VASP energy in eV per atom: -5.63

Cell and atoms, written as CIF:
```
data_InSi2Ir
_cell_length_a 3.729
_cell_length_b 4.204
_cell_length_c 4.833
_cell_angle_alpha 90.00
_cell_angle_beta 112.61
_cell_angle_gamma 90.00
_symmetry_space_group_name_H-M 'P 1 m 1'
_symmetry_Int_Tables_number 6
loop_
_symmetry_equiv_pos_as_xyz
'x,y,z'
'x,-y,z'
loop_
_atom_site_label
_atom_site_type_symbol
_atom_site_fract_x
_atom_site_fract_y
_atom_site_fract_z
_atom_site_occupancy
In1 In 0.000 0.000 0.000 1
Si1 Si 0.288 0.500 0.574 1
Si2 Si 0.721 0.000 0.445 1
Ir1 Ir 0.592 0.500 0.182 1
```


[2]
VASP calculation (PBE) on an optimized crystal structure of InSiIr.

Computed properties:
Mass density in Mg/m³: 9.32
Formation energy (no corrections) in eV per atom: 0.690
M_tot in μB/atom: 0.000
N(E_F) in states/eV/cell: 8.849
VASP energy in eV per atom: -4.98

Cell and atoms, written as CIF:
```
data_InSiIr
_cell_length_a 6.204
_cell_length_b 6.204
_cell_length_c 6.204
_cell_angle_alpha 90.00
_cell_angle_beta 90.00
_cell_angle_gamma 90.00
_symmetry_space_group_name_H-M 'F -4 3 m'
_symmetry_Int_Tables_number 216
_symmetry_space_group_name_Hall 'F -4 2 3'
loop_
_atom_site_label
_atom_site_type_symbol
_atom_site_fract_x
_atom_site_fract_y
_atom_site_fract_z
_atom_site_occupancy
In1 In 0.000 0.000 0.000 1
Si1 Si 0.250 0.250 0.750 1
Ir1 Ir 0.250 0.250 0.250 1
```


[3]
VASP calculation (PBE) on an optimized crystal structure of InSi2Ir.

Computed properties:
Mass density in Mg/m³: 8.44
Formation energy (no corrections) in eV per atom: 0.136
M_tot in μB/atom: 0.000
N(E_F) in states/eV/cell: 4.190
VASP energy in eV per atom: -5.48

Cell and atoms, written as CIF:
```
data_InSi2Ir
_cell_length_a 2.845
_cell_length_b 4.678
_cell_length_c 10.740
_cell_angle_alpha 90.00
_cell_angle_beta 90.00
_cell_angle_gamma 90.00
_symmetry_space_group_name_H-M 'I m m m'
_symmetry_Int_Tables_number 71
_symmetry_space_group_name_Hall '-I 2 2'
loop_
_atom_site_label
_atom_site_type_symbol
_atom_site_fract_x
_atom_site_fract_y
_atom_site_fract_z
_atom_site_occupancy
In1 In 0.000 0.000 0.000 1
Si1 Si 0.000 0.500 0.199 1
Ir1 Ir 0.000 0.000 0.500 1
```


[4]
VASP calculation (PBE) on an optimized crystal structure of InSi2Ir.

Computed properties:
Mass density in Mg/m³: 8.11
Formation energy (no corrections) in eV per atom: -0.055
M_tot in μB/atom: 0.000
N(E_F) in states/eV/cell: 2.470
VASP energy in eV per atom: -5.67

Cell and atoms, written as CIF:
```
data_InSi2Ir
_cell_length_a 7.697
_cell_length_b 3.042
_cell_length_c 6.608
_cell_angle_alpha 90.00
_cell_angle_beta 105.87
_cell_angle_gamma 90.00
_symmetry_space_group_name_H-M 'C 1 2/m 1'
_symmetry_Int_Tables_number 12
loop_
_symmetry_equiv_pos_as_xyz
'x,y,z'
'-x,-y,-z'
'-x,y,-z'
'x,-y,z'
'x+1/2,y+1/2,z'
'-x+1/2,-y+1/2,-z'
'-x+1/2,y+1/2,-z'
'x+1/2,-y+1/2,z'
loop_
_atom_site_label
_atom_site_type_symbol
_atom_site_fract_x
_atom_site_fract_y
_atom_site_fract_z
_atom_site_occupancy
In1 In 0.000 0.000 0.000 1
Si1 Si 0.248 0.000 0.669 1
Ir1 Ir 0.000 0.500 0.500 1
```


[5]
VASP calculation (PBE) on an optimized crystal structure of InSiIr.

Computed properties:
Mass density in Mg/m³: 10.40
Formation energy (no corrections) in eV per atom: -0.070
M_tot in μB/atom: 0.000
N(E_F) in states/eV/cell: 1.515
VASP energy in eV per atom: -5.74

Cell and atoms, written as CIF:
```
data_InSiIr
_cell_length_a 3.1735
_cell_length_b 3.1735
_cell_length_c 6.1360
_cell_angle_alpha 90.00
_cell_angle_beta 90.00
_cell_angle_gamma 120.00
_symmetry_space_group_name_H-M 'P 3 m 1'
_symmetry_Int_Tables_number 156
loop_
_symmetry_equiv_pos_as_xyz
'x,y,z'
'-y,x-y,z'
'-x+y,-x,z'
'-y,-x,z'
'-x+y,y,z'
'x,x-y,z'
loop_
_atom_site_label
_atom_site_type_symbol
_atom_site_fract_x
_atom_site_fract_y
_atom_site_fract_z
_atom_site_occupancy
In1 In 0.0000 0.0000 0.0000 1
Si1 Si 0.3333 0.6667 0.6116 1
Ir1 Ir 0.6667 0.3333 0.3611 1
```


[6]
VASP calculation (PBE) on an optimized crystal structure of In3SiIr.

Computed properties:
Mass density in Mg/m³: 7.34
Formation energy (no corrections) in eV per atom: 1.029
Relative energy among the computed polymorphs in eV per formula unit: 3.08
M_tot in μB/atom: 0.000
N(E_F) in states/eV/cell: 4.754
VASP energy in eV per atom: -3.47

Cell and atoms, written as CIF:
```
data_In3SiIr
_cell_length_a 5.037
_cell_length_b 5.037
_cell_length_c 5.037
_cell_angle_alpha 90.00
_cell_angle_beta 90.00
_cell_angle_gamma 90.00
_symmetry_space_group_name_H-M 'P m -3 m'
_symmetry_Int_Tables_number 221
_symmetry_space_group_name_Hall '-P 4 2 3'
loop_
_atom_site_label
_atom_site_type_symbol
_atom_site_fract_x
_atom_site_fract_y
_atom_site_fract_z
_atom_site_occupancy
In1 In 0.000 0.000 0.500 1
Si1 Si 0.000 0.000 0.000 1
Ir1 Ir 0.500 0.500 0.500 1
```


[7]
VASP calculation (PBE) on an optimized crystal structure of InSiIr2.

Computed properties:
Mass density in Mg/m³: 13.28
Formation energy (no corrections) in eV per atom: -0.143
M_tot in μB/atom: 0.000
N(E_F) in states/eV/cell: 2.349
VASP energy in eV per atom: -6.61

Cell and atoms, written as CIF:
```
data_InSiIr2
_cell_length_a 8.918
_cell_length_b 3.029
_cell_length_c 5.088
_cell_angle_alpha 90.00
_cell_angle_beta 106.41
_cell_angle_gamma 90.00
_symmetry_space_group_name_H-M 'C 1 m 1'
_symmetry_Int_Tables_number 8
loop_
_symmetry_equiv_pos_as_xyz
'x,y,z'
'x,-y,z'
'x+1/2,y+1/2,z'
'x+1/2,-y+1/2,z'
loop_
_atom_site_label
_atom_site_type_symbol
_atom_site_fract_x
_atom_site_fract_y
_atom_site_fract_z
_atom_site_occupancy
In1 In 0.000 0.000 0.000 1
Si1 Si 0.249 0.500 0.437 1
Ir1 Ir 0.239 0.000 0.797 1
Ir2 Ir 0.464 0.000 0.440 1
```


[8]
VASP calculation (PBE) on an optimized crystal structure of InSiIr2.

Computed properties:
Mass density in Mg/m³: 14.13
Formation energy (no corrections) in eV per atom: 0.000
M_tot in μB/atom: 0.084
N(E_F) in states/eV/cell: 22.004
VASP energy in eV per atom: -6.47

Cell and atoms, written as CIF:
```
data_InSiIr2
_cell_length_a 6.282
_cell_length_b 6.282
_cell_length_c 6.282
_cell_angle_alpha 90.00
_cell_angle_beta 90.00
_cell_angle_gamma 90.00
_symmetry_space_group_name_H-M 'F m -3 m'
_symmetry_Int_Tables_number 225
_symmetry_space_group_name_Hall '-F 4 2 3'
loop_
_atom_site_label
_atom_site_type_symbol
_atom_site_fract_x
_atom_site_fract_y
_atom_site_fract_z
_atom_site_occupancy
In1 In 0.000 0.000 0.000 1
Si1 Si 0.000 0.000 0.500 1
Ir1 Ir 0.250 0.250 0.250 1
```